{
  "formula": "LaOs2RhO",
  "functional": "meta-GGA SCAN",
  "state": "single point on PBEsol structure",
  "lattice": [[4.882, 0.000, 0.000], [0.000, 4.882, 0.000], [0.000, 0.000, 4.780]],
  "species": ["La", "Os", "Os", "Rh", "O"],
  "frac_coords": [[0.000, 0.000, 0.000], [0.000, 0.500, 0.000], [0.500, 0.000, 0.000], [0.000, 0.000, 0.500], [0.500, 0.500, 0.500]],
  "dos_ef_per_ev_atom": 0.767,
  "e_form_raw_ev_per_atom": 2.949
}